1.
Computed, not measured: a relaxed structure of Zr2Be4ZnPt3 at the PBE level of DFT.

The value obtained for the energy relative to the elements is -0.623 eV per atom.

```
Zr2Be4ZnPt3
1.0
3.8567 0.0000 0.0000
0.0000 3.8567 0.0000
0.0000 0.0000 9.5813
Be Zr Pt Zn
4 2 3 1
Cartesian
0.0000 0.0000 0.0000
1.9283 1.9283 0.0000
1.9283 0.0000 6.1367
0.0000 1.9283 3.4446
1.9283 0.0000 2.3445
0.0000 1.9283 7.2367
0.0000 0.0000 4.7906
1.9283 0.0000 8.3678
0.0000 1.9283 1.2134
1.9283 1.9283 4.7906
```



2.
Computed, not measured: a relaxed structure of ZrBe3Pt at the PBE level of DFT.

The value obtained for the energy relative to the elements is 1.794 eV per atom. The polymorph energy (0 for the lowest one) comes out at 1913 meV per atom.

```
ZrBe3Pt
1.0
4.4017 0.0000 0.0000
0.0000 4.4017 0.0000
0.0000 0.0000 4.4017
Be Pt Zr
3 1 1
Cartesian
0.0000 0.0000 2.2008
0.0000 2.2008 0.0000
2.2008 0.0000 0.0000
2.2008 2.2008 2.2008
0.0000 0.0000 0.0000
```



3.
Computed, not measured: a relaxed structure of ZrBe4Pt3 at the PBE level of DFT.

The value obtained for the energy relative to the elements is -0.552 eV per atom.

```
ZrBe4Pt3
1.0
-0.3768 4.0340 1.6856
-1.4254 -2.2486 5.0629
7.9535 -0.1626 2.1670
Be Pt Zr
8 6 2
Cartesian
-0.4772 1.5614 1.8686
2.6518 0.1427 5.9634
4.7706 -1.4230 5.9117
-1.3250 0.2240 4.8799
5.6392 -0.0527 2.8265
0.5121 1.6756 6.0890
3.4995 1.4802 2.9521
1.3807 3.0459 3.0037
5.7344 2.3478 2.6572
1.0786 0.9451 3.9549
3.9767 -0.0813 1.0835
0.0000 0.0000 0.0000
1.8423 1.5237 1.1954
5.0727 0.6778 4.9606
3.2641 -1.2056 3.6149
-0.7127 -1.1243 2.5315
```



4.
Computed, not measured: a relaxed structure of ZrBePt at the PBE level of DFT.

The value obtained for the energy relative to the elements is -0.411 eV per atom. The polymorph energy (0 for the lowest one) comes out at 435 meV per atom.

```
ZrBePt
1.0
4.1164 0.0000 0.0000
2.0582 3.5649 0.0000
2.0582 1.1883 3.3610
Be Pt Zr
1 1 1
Cartesian
2.0582 1.1883 0.8402
0.0000 0.0000 0.0000
4.1164 2.3766 1.6805
```



5.
Computed, not measured: a relaxed structure of ZrBePt2 at the PBE level of DFT.

The value obtained for the energy relative to the elements is -0.599 eV per atom.

```
ZrBePt2
1.0
-2.8396 1.4651 2.1604
1.9299 -1.1860 3.3409
1.9333 3.5406 0.1401
Zr Pt Be
1 2 1
Cartesian
-0.4549 0.1395 2.7507
1.9316 1.1773 1.7405
0.0000 0.0000 0.0000
-0.4531 2.5028 1.1503
```



6.
Computed, not measured: a relaxed structure of ZrBePt2 at the PBE level of DFT.

The value obtained for the energy relative to the elements is -0.476 eV per atom.

```
ZrBePt2
1.0
4.4822 0.0000 0.0000
2.2411 3.8817 0.0000
2.2411 1.2939 3.6597
Zr Be Pt
1 1 2
Cartesian
6.7232 3.8817 2.7447
4.4822 2.5878 1.8298
0.0000 0.0000 0.0000
2.2411 1.2939 0.9149
```



7.
Computed, not measured: a relaxed structure of ZrBe9Pt2 at the PBE level of DFT.

The value obtained for the energy relative to the elements is -0.413 eV per atom.

```
ZrBe9Pt2
1.0
-4.3068 1.1361 0.2325
2.0948 -1.5543 3.6179
3.6813 13.2283 3.5516
Zr Be Pt
2 18 4
Cartesian
2.7219 9.2637 5.1532
-1.2526 3.5464 2.2489
0.8813 2.6496 3.3773
-0.0061 12.2946 3.9152
1.0380 11.5199 5.7185
2.7610 9.9212 2.6637
1.3702 4.6644 2.5895
0.9203 3.3071 0.8879
0.0000 0.0000 0.0000
1.8406 6.6142 1.7758
2.4143 3.8897 4.3928
-0.6713 1.0818 3.6027
0.4312 1.2902 1.6836
1.4754 0.5155 3.4868
-0.9451 8.9205 3.0093
0.0991 8.1457 4.8125
1.2016 8.3542 2.8934
0.2677 4.4559 4.5086
2.1406 11.7284 3.7993
0.5880 10.1605 4.0247
3.4738 11.9656 5.8786
1.9700 6.5619 4.4277
-0.5007 6.2483 2.9743
-2.0045 0.8445 1.5235
```



8.
Computed, not measured: a relaxed structure of Zr2BePt at the PBE level of DFT.

The value obtained for the energy relative to the elements is -0.419 eV per atom.

```
Zr2BePt
1.0
4.9284 -0.0249 -0.0120
1.3046 4.7527 0.0120
-3.1102 -2.3721 2.9982
Zr Be Pt
2 1 1
Cartesian
3.1168 2.3641 0.0000
6.2327 4.7276 0.0000
2.4673 -0.0166 1.4931
0.6554 2.3722 1.5051
```



9.
Computed, not measured: a relaxed structure of Zr4BePt at the PBE level of DFT.

The value obtained for the energy relative to the elements is 0.408 eV per atom. The polymorph energy (0 for the lowest one) comes out at 836 meV per atom.

```
Zr4BePt
1.0
0.0000 3.9353 3.9353
3.9353 0.0000 3.9353
3.9353 3.9353 0.0000
Be Zr Pt
1 4 1
Cartesian
5.9030 5.9030 5.9030
4.9194 2.9512 4.9194
4.9194 4.9194 2.9512
2.9512 2.9512 2.9512
2.9512 4.9194 4.9194
0.0000 0.0000 0.0000
```



10.
Computed, not measured: a relaxed structure of ZrBePt2 at the PBE level of DFT.

The value obtained for the energy relative to the elements is -0.768 eV per atom.

```
ZrBePt2
1.0
-0.6109 -3.1267 3.5871
3.6467 -3.1129 -0.1672
-0.0069 4.7975 0.0098
Pt Be Zr
2 1 1
Cartesian
0.0000 0.0000 0.0000
1.5179 -3.1198 1.7099
0.4500 -0.7245 2.6534
2.5789 -0.7176 0.7763
```



11.
Computed, not measured: a relaxed structure of ZrBePt2 at the PBE level of DFT.

The value obtained for the energy relative to the elements is -0.346 eV per atom.

```
ZrBePt2
1.0
4.7685 0.0000 0.0000
0.0000 4.7685 0.0000
2.3843 2.3843 6.8125
Be Pt Zr
2 4 2
Cartesian
2.3843 2.3843 0.0000
2.3843 4.7685 3.4063
1.6773 3.5764 1.7031
3.0913 1.1921 1.7031
3.5764 4.0616 5.1094
5.9607 5.4755 5.1094
4.7685 2.3843 3.4063
0.0000 0.0000 0.0000
```



12.
Computed, not measured: a relaxed structure of Zr2BePt at the PBE level of DFT.

The value obtained for the energy relative to the elements is -0.219 eV per atom.

```
Zr2BePt
1.0
-3.4577 0.6561 -0.2011
-2.6774 -2.1959 0.6603
-1.3019 1.8471 7.2952
Be Pt Zr
1 1 2
Cartesian
-5.5777 0.2304 5.8158
-1.8592 0.0768 1.9386
-1.3518 1.7890 7.1479
-3.6686 0.2117 4.0244
```



13.
Computed, not measured: a relaxed structure of Zr2BePt at the PBE level of DFT.

The value obtained for the energy relative to the elements is 0.216 eV per atom.

```
Zr2BePt
1.0
-1.5113 1.7966 -3.3770
-3.8249 -0.6691 1.3558
-2.5724 8.6900 3.2699
Pt Be Zr
2 2 4
Cartesian
0.0000 0.0000 0.0000
-3.3759 5.5252 -0.5588
-4.5327 4.2923 1.8076
-2.6681 0.5638 -1.0106
-3.9642 6.9344 1.7065
-2.0524 3.1959 -1.0938
-3.2359 1.9948 1.2129
-6.5647 7.5100 0.6719
```



14.
Computed, not measured: a relaxed structure of ZrBePt2 at the PBE level of DFT.

The value obtained for the energy relative to the elements is -0.551 eV per atom.

```
ZrBePt2
1.0
2.9183 0.0028 0.0000
-0.0029 2.9183 0.0000
0.0000 0.0000 7.1612
Zr Pt Be
1 2 1
Cartesian
0.0000 0.0000 3.7416
0.0000 0.0000 6.7743
1.4577 1.4606 1.7105
1.4577 1.4606 5.6767
```



15.
Computed, not measured: a relaxed structure of Zr2BePt at the PBE level of DFT.

The value obtained for the energy relative to the elements is -0.468 eV per atom.

```
Zr2BePt
1.0
-3.5338 -2.6061 0.2796
1.4651 -2.3533 -3.4173
1.8051 -2.2019 2.2902
Zr Pt Be
2 1 1
Cartesian
-1.0343 -2.4797 -1.5689
0.0000 0.0000 0.0000
1.6351 -2.2776 -0.5636
-0.8644 -2.4040 1.2849
```



16.
Computed, not measured: a relaxed structure of ZrBe2Pt3 at the PBE level of DFT.

The value obtained for the energy relative to the elements is -0.834 eV per atom.

```
ZrBe2Pt3
1.0
2.8609 0.0000 0.0000
0.0000 2.8609 0.0000
0.0000 0.0000 10.0060
Zr Be Pt
1 2 3
Cartesian
1.4305 1.4305 5.0030
1.4305 1.4305 1.4657
1.4305 1.4305 8.5403
0.0000 0.0000 0.0000
0.0000 0.0000 2.8684
0.0000 0.0000 7.1376
```



17.
Computed, not measured: a relaxed structure of ZrBePt at the PBE level of DFT.

The value obtained for the energy relative to the elements is -0.846 eV per atom. The polymorph energy (0 for the lowest one) comes out at 0 meV per atom.

```
ZrBePt
1.0
3.8902 0.0000 0.0000
0.0000 7.3217 0.0000
0.0000 0.0000 6.4407
Pt Zr Be
4 4 4
Cartesian
0.9726 0.5028 5.3918
2.9177 6.8190 1.0488
0.9726 3.1581 2.1715
2.9177 4.1637 4.2692
0.9726 5.9546 3.1320
2.9177 1.3671 3.3086
2.9177 2.2937 0.0883
0.9726 5.0280 6.3523
0.9726 0.8237 1.3454
2.9177 6.4980 5.0953
0.9726 2.8371 4.5657
2.9177 4.4846 1.8749
```



18.
Computed, not measured: a relaxed structure of Zr3Be2Pt5 at the PBE level of DFT.

The value obtained for the energy relative to the elements is -0.931 eV per atom.

```
Zr3Be2Pt5
1.0
3.6889 0.0000 0.0000
0.0000 9.3029 0.0000
0.0000 0.0000 9.3029
Zr Be Pt
6 4 10
Cartesian
0.0000 0.0000 0.0000
0.0000 1.6372 3.0142
0.0000 6.2887 1.6372
0.0000 3.0142 7.6656
0.0000 4.6514 4.6514
0.0000 7.6656 6.2887
0.0000 1.0989 5.7503
0.0000 3.5526 1.0989
0.0000 5.7503 8.2040
0.0000 8.2040 3.5526
1.8444 1.9847 0.6611
1.8444 0.6611 7.3181
1.8444 2.6667 5.3126
1.8444 0.0000 4.6514
1.8444 6.6362 3.9903
1.8444 3.9903 2.6667
1.8444 7.3181 8.6418
1.8444 8.6418 1.9847
1.8444 4.6514 0.0000
1.8444 5.3126 6.6362
```



19.
Computed, not measured: a relaxed structure of Zr2BePt at the PBE level of DFT.

The value obtained for the energy relative to the elements is -0.182 eV per atom.

```
Zr2BePt
1.0
-2.7530 -0.7225 -3.6248
0.2988 -3.9406 -2.3713
-3.3896 -3.1114 0.2647
Be Pt Zr
1 1 2
Cartesian
-2.9219 -3.8872 -2.8657
-4.3829 -5.8309 -4.2985
-1.4610 -1.9436 -1.4328
0.0000 0.0000 0.0000
```



20.
Computed, not measured: a relaxed structure of ZrBe17Pt at the PBE level of DFT.

The value obtained for the energy relative to the elements is -0.200 eV per atom.

```
ZrBe17Pt
1.0
-4.6198 3.1323 0.3856
-3.6154 -3.9078 -1.7206
-1.5812 -1.7440 5.0755
Be Zr Pt
17 1 1
Cartesian
-7.3364 -2.1813 0.0718
-2.3327 1.4525 0.2358
-5.9195 -0.6743 4.8052
-5.1869 -2.7719 0.4786
-1.8555 -1.8918 -0.7647
-5.6725 0.6316 1.4969
-4.0317 -3.2821 2.2517
-5.5062 -3.5717 3.9384
-0.8892 -0.8639 2.4636
-4.2035 -1.7258 3.7642
-6.0858 -4.1882 2.0019
-0.9541 -0.2449 0.3635
-4.5544 0.3818 3.3479
-8.8314 -2.2667 3.3652
-6.7854 0.7151 3.4689
-7.6226 -0.1754 0.6719
-5.6131 -0.7443 -0.1891
-3.3599 -0.8624 1.2803
-6.5150 -1.6722 2.4825
```



21.
Computed, not measured: a relaxed structure of Zr2BePt at the PBE level of DFT.

The value obtained for the energy relative to the elements is -0.581 eV per atom.

```
Zr2BePt
1.0
4.0330 0.0000 0.0000
0.0000 3.4632 0.0150
0.0000 1.7173 5.1611
Zr Pt Be
2 1 1
Cartesian
0.0000 4.9655 4.8303
2.0165 1.5100 1.7244
2.0165 3.2380 3.9329
0.0000 3.2377 2.4525
```



22.
Computed, not measured: a relaxed structure of Zr4BePt at the PBE level of DFT.

The value obtained for the energy relative to the elements is -0.428 eV per atom. The polymorph energy (0 for the lowest one) comes out at 0 meV per atom.

```
Zr4BePt
1.0
5.2468 -0.2863 -1.3121
-3.2555 4.1246 -1.3121
0.1486 0.2863 5.4063
Zr Be Pt
4 1 1
Cartesian
0.2910 2.4664 1.3911
2.8330 0.2609 0.0941
-2.4023 3.8637 1.3911
3.5580 1.6582 2.6880
0.9957 1.9192 -1.3121
0.0000 0.0000 0.0000
```



23.
Computed, not measured: a relaxed structure of ZrBePt2 at the PBE level of DFT.

The value obtained for the energy relative to the elements is -0.600 eV per atom.

```
ZrBePt2
1.0
4.2180 0.3160 0.0000
-0.7244 4.1673 0.0000
0.0000 0.0000 3.5816
Pt Be Zr
2 1 1
Cartesian
0.0000 0.0000 0.0000
1.7468 2.2417 0.0000
-0.3622 2.0837 1.7908
2.1090 0.1580 1.7908
```



24.
Computed, not measured: a relaxed structure of ZrBePt at the PBE level of DFT.

The value obtained for the energy relative to the elements is 0.104 eV per atom. The polymorph energy (0 for the lowest one) comes out at 950 meV per atom.

```
ZrBePt
1.0
4.3530 0.0000 0.0000
2.1765 3.7698 0.0000
2.1765 1.2566 3.5542
Pt Zr Be
1 1 1
Cartesian
4.3530 2.5132 1.7771
2.1765 1.2566 0.8885
0.0000 0.0000 0.0000
```



25.
Computed, not measured: a relaxed structure of ZrBePt at the PBE level of DFT.

The value obtained for the energy relative to the elements is -0.737 eV per atom. The polymorph energy (0 for the lowest one) comes out at 110 meV per atom.

```
ZrBePt
1.0
5.3836 0.0000 0.0000
-2.6918 5.3099 0.0000
0.0000 0.0000 6.4793
Pt Zr Be
4 4 4
Cartesian
-1.3459 4.6762 4.8595
1.3459 4.6762 4.8595
1.3459 0.6336 1.6198
4.0377 0.6336 1.6198
2.6918 3.4064 2.7162
0.0000 1.9035 3.7631
0.0000 3.4064 0.5234
2.6918 1.9035 5.9559
0.0000 4.3531 2.9072
2.6918 0.9568 3.5721
0.0000 0.9568 6.1468
2.6918 4.3531 0.3325
```



no.,V (Å³/atom),VASP energy (eV per atom)
1,14.3,-5.76
2,17.1,-3.36
3,12.9,-5.75
4,16.4,-6.52
5,15.7,-6.69
6,15.9,-6.56
7,10.2,-4.93
8,17.6,-7.13
9,20.3,-6.92
10,15.6,-6.86
11,19.4,-6.44
12,18.4,-6.93
13,19.4,-6.50
14,15.2,-6.64
15,17.7,-7.18
16,13.6,-6.52
17,15.3,-6.95
18,16.0,-7.26
19,17.3,-6.90
20,9.0,-4.30
21,18.0,-7.30
22,19.3,-7.75
23,15.9,-6.69
24,19.4,-6.00
25,15.4,-6.84